Entry 1:
This record from the Alexandria database describes an optimized crystal structure of LaZrOsPb2. The functional is PBE.

```
data_LaZrOsPb2
_space_group_name_H-M_alt 'P 4/m m m'
_space_group_IT_number 123
_space_group_name_Hall '-P 4 2'
_cell_length_a 5.857
_cell_length_b 5.857
_cell_length_c 4.778
_cell_angle_alpha 90.00
_cell_angle_beta 90.00
_cell_angle_gamma 90.00
loop_
_atom_site_label
_atom_site_fract_x
_atom_site_fract_y
_atom_site_fract_z
La1 0.000 0.000 0.000
Zr1 0.500 0.500 0.500
Os1 0.000 0.000 0.500
Pb1 0.000 0.500 0.000
```

magnetic moment: 0.00 μB per cell
calculated density: 8.46 g cm⁻³
crystal system: tetragonal
Fermi-level density of states: 1.2288 states/eV/atom
electronic total energy: -4.925 eV/atom
formation energy from the elements: 1500 meV per atom

Entry 2:
This record from the Alexandria database describes an optimized crystal structure of Sm3Zn6Ge5. The functional is PBE.

```
data_Sm3Zn6Ge5
_space_group_name_H-M_alt 'P m m n'
_space_group_IT_number 59
_cell_length_a 4.148
_cell_length_b 12.456
_cell_length_c 10.413
_cell_angle_alpha 90.00
_cell_angle_beta 90.00
_cell_angle_gamma 90.00
loop_
_space_group_symop_operation_xyz
'x,y,z'
'-x,-y,-z'
'-x+1/2,-y+1/2,z'
'x+1/2,y+1/2,-z'
'x+1/2,-y,-z'
'-x+1/2,y,z'
'-x,y+1/2,-z'
'x,-y+1/2,z'
loop_
_atom_site_label
_atom_site_fract_x
_atom_site_fract_y
_atom_site_fract_z
Sm1 0.250 0.082 0.250
Sm2 0.250 0.750 0.244
Zn1 0.250 0.083 0.882
Zn2 0.250 0.250 0.026
Zn3 0.250 0.250 0.492
Zn4 0.250 0.593 0.505
Ge1 0.250 0.083 0.642
Ge2 0.250 0.612 0.977
Ge3 0.250 0.750 0.678
```

magnetic moment: 0.00 μB per cell
calculated density: 7.45 g cm⁻³
crystal system: orthorhombic
Fermi-level density of states: 0.1604 states/eV/atom
electronic total energy: -3.649 eV/atom
formation energy from the elements: -443 meV per atom

Entry 3:
This record from the Alexandria database describes an optimized crystal structure of La2Pm3Ho3. The functional is PBE.

```
data_La2Pm3Ho3
_space_group_name_H-M_alt 'C m c m'
_space_group_IT_number 63
_space_group_name_Hall '-C 2c 2'
_cell_length_a 3.633
_cell_length_b 17.739
_cell_length_c 17.107
_cell_angle_alpha 90.00
_cell_angle_beta 90.00
_cell_angle_gamma 90.00
loop_
_atom_site_label
_atom_site_fract_x
_atom_site_fract_y
_atom_site_fract_z
La1 0.000 0.219 0.151
Pm1 0.000 0.356 0.013
Pm2 0.000 0.392 0.250
Ho1 0.000 0.006 0.101
Ho2 0.000 0.422 0.750
```

magnetic moment: 0.00 μB per cell
calculated density: 7.28 g cm⁻³
energy above the most stable polymorph in this dataset: 97 meV/atom
crystal system: orthorhombic
Fermi-level density of states: 1.4456 states/eV/atom
electronic total energy: -4.610 eV/atom
formation energy from the elements: 120 meV per atom

Entry 4:
This record from the Alexandria database describes an optimized crystal structure of AgAu2. The functional is PBE.

```
data_AgAu2
_space_group_name_H-M_alt 'I 4/m c m'
_space_group_IT_number 140
_space_group_name_Hall '-I 4 2c'
_cell_length_a 6.497
_cell_length_b 6.497
_cell_length_c 5.436
_cell_angle_alpha 90.00
_cell_angle_beta 90.00
_cell_angle_gamma 90.00
loop_
_atom_site_label
_atom_site_fract_x
_atom_site_fract_y
_atom_site_fract_z
Ag1 0.000 0.000 0.250
Au1 0.150 0.350 0.000
```

magnetic moment: 0.00 μB per cell
calculated density: 14.53 g cm⁻³
energy above the most stable polymorph in this dataset: 223 meV/atom
crystal system: tetragonal
Fermi-level density of states: 0.2494 states/eV/atom
electronic total energy: -2.953 eV/atom
formation energy from the elements: 182 meV per atom

Entry 5:
This record from the Alexandria database describes an optimized crystal structure of ZrTlIr3. The functional is PBE.

```
data_ZrTlIr3
_space_group_name_H-M_alt 'P m -3 m'
_space_group_IT_number 221
_space_group_name_Hall '-P 4 2 3'
_cell_length_a 4.868
_cell_length_b 4.868
_cell_length_c 4.868
_cell_angle_alpha 90.00
_cell_angle_beta 90.00
_cell_angle_gamma 90.00
loop_
_atom_site_label
_atom_site_fract_x
_atom_site_fract_y
_atom_site_fract_z
Zr1 0.000 0.000 0.000
Tl1 0.500 0.500 0.500
Ir1 0.000 0.500 0.500
```

magnetic moment: 0.00 μB per cell
calculated density: 12.55 g cm⁻³
energy above the most stable polymorph in this dataset: 340 meV/atom
crystal system: cubic
Fermi-level density of states: 0.1062 states/eV/atom
electronic total energy: -5.765 eV/atom
formation energy from the elements: 1734 meV per atom

Entry 6:
This record from the Alexandria database describes an optimized crystal structure of Zr2SiB2Ru5. The functional is PBE.

```
data_Zr2SiB2Ru5
_space_group_name_H-M_alt 'P 4/m b m'
_space_group_IT_number 127
_space_group_name_Hall '-P 4 2ab'
_cell_length_a 9.348
_cell_length_b 9.348
_cell_length_c 3.054
_cell_angle_alpha 90.00
_cell_angle_beta 90.00
_cell_angle_gamma 90.00
loop_
_atom_site_label
_atom_site_fract_x
_atom_site_fract_y
_atom_site_fract_z
Zr1 0.176 0.324 0.000
Si1 0.000 0.000 0.000
B1 0.124 0.624 0.000
Ru1 0.000 0.500 0.500
Ru2 0.068 0.788 0.500
```

magnetic moment: 0.00 μB per cell
calculated density: 9.18 g cm⁻³
crystal system: tetragonal
Fermi-level density of states: 0.4235 states/eV/atom
electronic total energy: -8.934 eV/atom